Compound: MgZrPb2
Source: Alexandria via LeMat-Bulk
Functional: meta-GGA SCAN
Structure: single point on PBEsol structure

Lattice parameters (Å, degrees): 3.2465 5.4345 5.3989 90.00 90.00 90.00
With the nearest neighbours (Å) after each atom.
Positions (direct):
Mg (0.0000, 0.0000, 0.0000)  8 Pb 3.11-3.20, 2 Mg 3.25, 2 Zr 3.47
Zr (0.0000, 0.5000, 0.4005)  8 Pb 3.11-3.20, 2 Zr 3.25, 2 Mg 3.47
Pb (0.5000, 0.0000, 0.4923)  4 Mg 3.11-3.19, 4 Zr 3.20, 2 Pb 3.25
Pb (0.5000, 0.5000, 0.9095)  4 Zr 3.11-3.19, 4 Mg 3.20, 2 Pb 3.25

Summary:
energy relative to the elements: -0.208 eV per atom
symmetry: Pmm2, No. 25
mass density: 9.24 g/cm3
M_tot: 0.0000 μB per atom